VASP calculation (PBE) on a geometry-optimized PrTiMnGe2 structure.

Cell lengths 6.409, 6.409, 6.409 Å; angles 142.75, 142.75, 53.70 degrees
Positions (direct):
Pr 0.000 0.000 0.000
Ti 0.250 0.750 0.500
Mn 0.750 0.250 0.500
Ge 0.385 0.385 0.000
Ge 0.615 0.615 0.000

Results
Symmetry: No. 119
Energy: -0.4995 Ry/atom
D(E_F): 2.80 states/eV/cell
ΔE_f: -580 meV per atom